Below is crystalline Ac2ErSb3Rh6 at its relaxed geometry, with properties calculated at the PBE-GGA level.

Lattice parameters (Å, degrees): 4.1927 4.1927 16.9728 90.00 90.00 90.00
Closest atoms and distances in Å follow each position.
Space group P4/mmm (No. 123)
One atom of each set of equivalent atoms:
Ac (0.0000, 0.0000, 0.1629)  4 Rh 2.97
Er (0.0000, 0.0000, 0.5000)  8 Rh 2.84
Sb (0.5000, 0.5000, 0.0000)  2 Rh 2.54
Sb (0.5000, 0.5000, 0.3016)  5 Rh 2.55-2.58
Rh (0.0000, 0.5000, 0.3875)  2 Sb 2.55, 2 Er 2.84
Rh (0.5000, 0.5000, 0.1498)  2 Sb 2.54-2.58

Computed properties:
As for the total moment: 0.000 μB/atom. Its formation energy from raw total energies is -608 kJ/mol of formula units.